Material: BeAg2P
Method: DFT, PBE-GGA
State: relaxed

Summary:
For the energy of formation from the pure elements, the calculation gives 0.3699 eV per atom. The value obtained for the energy above the most stable polymorph in this dataset is 191 meV/atom. For the total magnetic moment, the calculation gives 0.00 μB/atom.

a b c (Å): 3.8523 3.8523 8.1458
angles (deg): 90.00 90.00 90.00
Space group I-4m2 (No. 119)
One atom of each set of equivalent atoms:
Be: 0.0000 0.0000 0.0000
Ag: 0.0000 0.0000 0.5000
Ag: 0.0000 0.5000 0.2500
P: 0.0000 0.5000 0.7500